ZnCr2O4 | the Alexandria database | PBE+U | relaxed; ΔE to the lowest computed polymorph = 1.020 eV/f.u.
1.0
-5.6133 0.2890 2.2435
-4.6743 -2.2767 -3.0974
-2.8134 -5.0063 1.9102
Zn O Cr
2 8 4
direct
0.6265 0.6265 0.6265
0.0028 0.0028 0.0028
0.8708 0.4069 0.8708
0.3752 0.3752 0.8528
0.3752 0.8528 0.3752
0.3859 0.3859 0.3859
0.4069 0.8708 0.8708
0.8643 0.8643 0.8643
0.8528 0.3752 0.3752
0.8708 0.8708 0.4069
0.2459 0.2459 0.2459
0.6258 0.1214 0.6258
0.6258 0.6258 0.1214
0.1214 0.6258 0.6258